1.
Below is a PBEsol-optimized structure of Li2InCu, with properties calculated at the meta-GGA SCAN level.

Calculated values
Formation energy (meV/atom): -172
DOS at the Fermi energy (states/eV/cell): 1.22
Final energy (eV per cell): -54.1

Unit cell a=3.8413 b=3.8496 c=4.2021 alpha=90.00 beta=90.00 gamma=90.00
Fractional positions:
In  0.0000  0.5000  0.5000
Li  0.0000  0.0000  0.0000
Li  0.5000  0.5000  0.0000
Cu  0.5000  0.0000  0.5000

2.
Below is a PBEsol-optimized structure of Li2InCu, with properties calculated at the meta-GGA SCAN level.

Calculated values
Formation energy (meV/atom): -173
DOS at the Fermi energy (states/eV/cell): 1.34
Final energy (eV per cell): -54.1

Unit cell a=3.8589 b=3.8589 c=4.9740 alpha=112.82 beta=112.82 gamma=90.00
Fractional positions:
Li  0.2500  0.7500  0.5000
Li  0.7500  0.2500  0.5000
In  0.0000  0.0000  0.0000
Cu  0.5000  0.5000  0.0000